# Na4NpS4, relaxed, DFT PBE
data_Na4NpS4
_chemical_formula_sum 'Na8 Np2 S8'
_space_group_name_H-M_alt 'C 1 2/m 1'
_space_group_IT_number 12
_cell_length_a 13.621
_cell_length_b 4.094
_cell_length_c 9.866
_cell_angle_alpha 90.00
_cell_angle_beta 122.24
_cell_angle_gamma 90.00
loop_
_space_group_symop_operation_xyz
'x,y,z'
'-x,-y,-z'
'-x,y,-z'
'x,-y,z'
'x+1/2,y+1/2,z'
'-x+1/2,-y+1/2,-z'
'-x+1/2,y+1/2,-z'
'x+1/2,-y+1/2,z'
loop_
_atom_site_label
_atom_site_type_symbol
_atom_site_fract_x
_atom_site_fract_y
_atom_site_fract_z
Na1 Na 0.137 0.000 0.392
Na2 Na 0.204 0.500 0.825
Np1 Np 0.000 0.500 0.000
S1 S 0.074 0.000 0.889
S2 S 0.208 0.500 0.277
# - Size of the total moment: 6.00 μB per cell
# - V: 465.3 Å³/cell
# - VASP energy: -45.40 eV per formula unit
# - Theoretical density: 3.26 Mg/m³
# - Relative energy among the computed polymorphs: 0.00 kcal/mol of atoms
# - E_form (uncorrected): -1.186 eV per atom